Computed, not measured: a geometry-optimized DyZrPd2 structure at the PBE level of DFT.

a b c (Å): 3.420 3.420 6.973
angles (deg): 90.00 90.00 90.00
Space group P4/mmm (No. 123)
One atom of each set of equivalent atoms:
Dy 0.000 0.000 0.000 x1
Zr 0.000 0.000 0.500 x1
Pd 0.500 0.500 0.278 x2

* E: -6.60 eV/atom
* E_form: -0.712 eV per atom